This record from the Alexandria database describes a geometry-optimized LaNbOs3 structure. The functional is PBE.

As for the space group: Pm-3m (221). For the formation energy, the calculation gives 2.69 eV per atom. Its spin magnetization is 0.0 μB/f.u. For the raw total energy, the calculation gives -7.050 eV/atom.

Cell lengths 4.754, 4.754, 4.754 Å; angles 90.00, 90.00, 90.00 degrees
Fractional coordinates of all 5 atoms:
La  0.000  0.000  0.000
Nb  0.500  0.500  0.500
Os  0.000  0.000  0.500
Os  0.000  0.500  0.000
Os  0.500  0.000  0.000

This record from the Alexandria database describes a geometry-optimized YReS2 structure. The functional is PBE.

The value obtained for the formation energy from raw total energies is -0.80 eV per formula unit. As for the space group: R-3m (166). Its spin magnetization is 0.0 μB/f.u. For the raw total energy, the calculation gives -6.992 eV/atom.

Cell lengths 8.753, 8.753, 8.753 Å; angles 21.88, 21.88, 21.88 degrees
Fractional coordinates of all 4 atoms:
Y  0.000  0.000  0.000
Re  0.500  0.500  0.500
S  0.107  0.107  0.107
S  0.893  0.893  0.893

This record from the Alexandria database describes a geometry-optimized Be3Sb structure. The functional is PBE.

The value obtained for the formation energy from raw total energies is 2.37 eV per formula unit. As for the space group: I4/mmm (139). Its spin magnetization is 0.0 μB/f.u. For the raw total energy, the calculation gives -3.233 eV/atom.

Cell lengths 9.225, 9.225, 9.225 Å; angles 158.07, 158.07, 31.21 degrees
Fractional coordinates of all 8 atoms:
Be  0.000  0.500  0.500
Be  0.170  0.170  0.000
Be  0.250  0.750  0.500
Be  0.500  0.000  0.500
Be  0.750  0.250  0.500
Be  0.830  0.830  0.000
Sb  0.386  0.386  0.000
Sb  0.614  0.614  0.000